Record 1
VASP calculation (PBE) on an optimized crystal structure of KSrTlBr6.

Summary:
The value obtained for the uncorrected formation energy is -1301 meV per atom.

a b c (Å): 7.6584 7.6584 14.0844
angles (deg): 90.00 90.00 120.00
With the nearest neighbours (Å) after each atom.
Space group P-31c (No. 163)
Unique sites:
K: 0.0000 0.0000 0.0000 x2  6 Br 3.37
Sr: 0.3333 0.6667 0.2500 x2  6 Br 3.07
Tl: 0.3333 0.6667 0.7500 x2  6 Br 2.81
Br: 0.0262 0.3785 0.6332 x12  1 Tl 2.81, 1 Sr 3.07

=====

Record 2
VASP calculation (PBE) on an optimized crystal structure of ReSiBr2.

Summary:
The value obtained for the uncorrected formation energy is 716 meV per atom. The calculation puts the distance to the lowest polymorph of the same formula at 56.0 kJ/mol of atoms.

a b c (Å): 3.2407 4.7217 11.9922
angles (deg): 90.00 90.00 90.00
With the nearest neighbours (Å) after each atom.
Space group Imm2 (No. 44)
Unique sites:
Re: 0.0000 0.0000 0.0000 x2  2 Si 2.38
Si: 0.0000 0.5000 0.6453 x2  2 Re 2.38
Br: 0.0000 0.0000 0.5150 x2  2 Si 2.83, 4 Re 2.87
Br: 0.0000 0.5000 0.3133 x2  2 Re 2.76

=====

Record 3
VASP calculation (PBE) on an optimized crystal structure of GdTm3.

Summary:
For the calculated formation energy, the calculation gives 0.024 eV per atom. The calculation puts the distance to the lowest polymorph of the same formula at 2.4 kJ/mol of atoms.

a b c (Å): 4.9680 4.9680 9.9106
angles (deg): 90.00 90.00 90.00
With the nearest neighbours (Å) after each atom.
Space group I4/mmm (No. 139)
Unique sites:
Gd: 0.0000 0.0000 0.0000 x2  12 Tm 3.51
Tm: 0.0000 0.0000 0.5000 x2  8 Tm 3.51, 4 Gd 3.51
Tm: 0.0000 0.5000 0.2500 x4  4 Gd 3.51, 8 Tm 3.51

=====

Record 4
VASP calculation (PBE) on an optimized crystal structure of Ta12CrW6.

Summary:
For the calculated formation energy, the calculation gives 0.125 eV per atom.

a b c (Å): 9.7345 9.7345 12.4564
angles (deg): 90.00 90.00 120.00
With the nearest neighbours (Å) after each atom.
Space group R-3 (No. 148, hexagonal axes)
Unique sites:
Ta: 0.0489 0.8633 0.3073 x18  4 Ta 2.71-2.98, 5 W 2.90-3.04, 1 Cr 2.90
Ta: 0.0654 0.2326 0.9173 x18  4 W 2.82-2.94, 5 Ta 2.87-3.08
Cr: 0.0000 0.0000 0.5000 x3  6 W 2.61, 6 Ta 2.90
W: 0.0403 0.5914 0.2056 x18  1 Cr 2.61, 2 W 2.74, 4 Ta 2.82-2.90

=====

Record 5
VASP calculation (PBE) on an optimized crystal structure of TbDyCdNi.

Summary:
For the calculated formation energy, the calculation gives -0.261 eV per atom. The calculation puts the distance to the lowest polymorph of the same formula at 9.8 kJ/mol of atoms.

a b c (Å): 7.1578 7.1578 7.1578
angles (deg): 90.00 90.00 90.00
With the nearest neighbours (Å) after each atom.
Space group F-43m (No. 216)
Unique sites:
Tb: 0.0000 0.0000 0.0000 x4  4 Ni 3.10, 4 Cd 3.10
Dy: 0.0000 0.0000 0.5000 x4  4 Cd 3.10, 4 Ni 3.10
Cd: 0.2500 0.2500 0.2500 x4  4 Tb 3.10, 4 Dy 3.10
Ni: 0.2500 0.2500 0.7500 x4  4 Dy 3.10, 4 Tb 3.10

=====

Record 6
VASP calculation (PBE) on an optimized crystal structure of CaLa5Mg6.

Summary:
For the calculated formation energy, the calculation gives -0.107 eV per atom.

a b c (Å): 5.5946 16.7970 7.9553
angles (deg): 90.00 90.00 90.00
With the nearest neighbours (Å) after each atom.
Space group Cmmm (No. 65)
Unique sites:
Ca: 0.0000 0.0000 0.0000 x2  8 Mg 3.41-3.44
La: 0.0000 0.0000 0.5000 x2  8 Mg 3.42-3.44
La: 0.0000 0.3308 0.5000 x4  8 Mg 3.42-3.46
La: 0.0000 0.3347 0.0000 x4  8 Mg 3.42-3.45
Mg: 0.0000 0.1660 0.2475 x8  1 Ca 3.41, 7 La 3.42-3.45
Mg: 0.0000 0.5000 0.2520 x4  6 La 3.42-3.46, 2 Ca 3.44

=====

Record 7
VASP calculation (PBE) on an optimized crystal structure of LiInMo2N.

Summary:
The value obtained for the uncorrected formation energy is -140 meV per atom.

a b c (Å): 4.0866 4.0866 4.3660
angles (deg): 90.00 90.00 90.00
With the nearest neighbours (Å) after each atom.
Space group P4/mmm (No. 123)
Unique sites:
Li: 0.0000 0.0000 0.0000 x1  2 N 2.18
In: 0.5000 0.5000 0.0000 x1  4 Li 2.89, 8 Mo 2.99
Mo: 0.0000 0.5000 0.5000 x2  2 N 2.04
N: 0.0000 0.0000 0.5000 x1  4 Mo 2.04, 2 Li 2.18

=====

Record 8
VASP calculation (PBE) on an optimized crystal structure of Tm2ScNi.

Summary:
For the calculated formation energy, the calculation gives -0.234 eV per atom. The calculation puts the distance to the lowest polymorph of the same formula at 3.4 kJ/mol of atoms.

a b c (Å): 3.4854 11.7060 9.1838
angles (deg): 90.00 90.00 90.00
With the nearest neighbours (Å) after each atom.
Space group Cmcm (No. 63)
Unique sites:
Tm: 0.0000 0.1350 0.0684 x8  2 Ni 2.77
Sc: 0.0000 0.4217 0.2500 x4  2 Ni 2.65
Ni: 0.0000 0.2485 0.7500 x4  2 Sc 2.65, 4 Tm 2.77

=====

Number 1: uncorrected energy -0.2196 Ry per atom. Number 2: uncorrected energy -0.3372 Ry per atom. Number 3: uncorrected energy -0.5034 Ry per atom. Number 4: uncorrected energy -0.8789 Ry per atom. Number 5: uncorrected energy -0.3119 Ry per atom. Number 6: uncorrected energy -0.2296 Ry per atom. Number 7: uncorrected energy -0.5195 Ry per atom. Number 8: uncorrected energy -0.4041 Ry per atom.